VASP calculation (PBE) on an optimized crystal structure of CdFe3Ge.

Calculated values
Relative energy among the computed polymorphs in eV per atom: 0.0000
Crystal system: cubic
Formation enthalpy at 0 K in eV per atom: 0.76
Raw total energy in eV per cell: -27.1

Cell: 4.4544 4.4544 4.4544 Å, 90.00 90.00 90.00°
With the nearest neighbours (Å) after each atom.
Space group Pm-3m (No. 221)
Unique sites:
Cd1 0.0000 0.0000 0.0000 x1  12 Fe 3.15
Fe1 0.0000 0.5000 0.5000 x3  2 Ge 2.23
Ge1 0.5000 0.5000 0.5000 x1  6 Fe 2.23